1.
DFT (PBE) results for crystalline TlIrPb2 at its relaxed geometry.

Properties
DOS at the Fermi energy	0.486	states/eV per atom
distance to the lowest polymorph of the same formula	341	meV per atom
calculated formation energy	0.529	eV per atom
symmetry	I-42d

Cell: 5.5604 5.5604 9.2972 Å, 72.60 72.60 90.00°
Last column: nearest neighbours and their distance in Å.
Sites, in units of the cell vectors:
Ir: 0.2500 0.7500 0.5000  4 Pb 2.68
Ir: 0.5000 0.5000 0.0000  4 Pb 2.68
Pb: 0.2128 0.6250 0.2500  2 Ir 2.68
Pb: 0.8750 0.7872 0.7500  2 Ir 2.68
Pb: 0.5372 0.1250 0.2500  2 Ir 2.68
Tl: 0.7500 0.2500 0.5000  4 Pb 3.15
Tl: 0.0000 0.0000 0.0000  4 Pb 3.15
Pb: 0.3750 0.4628 0.7500  2 Ir 2.68

---

2.
DFT (PBE) results for crystalline Li2Cd2AgHg2 at its relaxed geometry.

Properties
DOS at the Fermi energy	0.322	states/eV per atom
calculated formation energy	-0.161	eV per atom
symmetry	C2/m

Cell: 4.9587 7.3181 8.5402 Å, 145.87 90.00 109.80°
Last column: nearest neighbours and their distance in Å.
Sites, in units of the cell vectors:
Li: 0.7245 0.4490 0.3612  2 Hg 2.79-3.08, 1 Ag 2.81, 3 Cd 2.92-2.94, 3 Li 3.03-3.05
Hg: 0.5513 0.1026 0.7808  2 Li 2.79-3.08, 3 Cd 2.89-2.90, 3 Ag 3.02-3.07
Li: 0.2755 0.5510 0.6388  2 Hg 2.79-3.08, 1 Ag 2.81, 3 Cd 2.92-2.94, 3 Li 3.03-3.05
Hg: 0.4487 0.8974 0.2192  2 Li 2.79-3.08, 3 Cd 2.89-2.90, 3 Ag 3.02-3.07
Ag: 0.0000 0.0000 0.5000  2 Li 2.81, 6 Hg 3.02-3.07
Cd: 0.1435 0.2870 0.0728  4 Hg 2.89-3.16, 1 Cd 2.92, 3 Li 2.92-2.94
Cd: 0.8565 0.7130 0.9272  4 Hg 2.89-3.16, 1 Cd 2.92, 3 Li 2.92-2.94

---

3.
DFT (PBE) results for crystalline PmHoIrI at its relaxed geometry.

Properties
DOS at the Fermi energy	0.139	states/eV per atom
symmetry	R3m
energy relative to the elements, uncorrected	-0.96	eV per atom

Cell: 4.1507 4.1506 8.3330 Å, 90.00 104.43 120.00°
Last column: nearest neighbours and their distance in Å.
Sites, in units of the cell vectors:
Pm: 0.5161 0.1560 0.6875  3 Ir 2.83
I: 0.9644 0.3804 0.3594  3 Ho 3.45-3.46, 3 Pm 3.55
Ir: 0.3080 0.5519 0.8753  3 Ho 2.76, 3 Pm 2.83
Ho: 0.0894 0.9426 0.0475  3 Ir 2.76

---

4.
DFT (PBE) results for crystalline Pr4GaPdBr2 at its relaxed geometry.

Properties
DOS at the Fermi energy	0.862	states/eV per atom
symmetry	P2/m
energy relative to the elements, uncorrected	-0.92	eV per atom

Cell: 4.1162 7.7792 7.7487 Å, 107.35 90.00 90.00°
Last column: nearest neighbours and their distance in Å.
Sites, in units of the cell vectors:
Br: 0.0000 0.5000 0.5000  6 Pr 3.22-3.29
Pr: 0.0000 0.2544 0.7695  2 Ga 3.01, 1 Pd 3.04, 3 Br 3.17-3.22
Pr: 0.5000 0.2326 0.2106  2 Pd 2.90, 1 Ga 3.00
Pr: 0.5000 0.7674 0.7894  2 Pd 2.90, 1 Ga 3.00
Pr: 0.0000 0.7456 0.2305  2 Ga 3.01, 1 Pd 3.04, 3 Br 3.17-3.22
Br: 0.5000 0.0000 0.5000  6 Pr 3.17-3.27
Pd: 0.0000 0.0000 0.0000  6 Pr 2.90-3.04
Ga: 0.5000 0.5000 0.0000  6 Pr 3.00-3.01

---

| no. | electronic total energy (eV for the cell shown) |
| --- | --- |
| 1 | -33.1 |
| 2 | -10.2 |
| 3 | -23.6 |
| 4 | -38.1 |